1.
The following is a DFT calculation (GGA-PBE) of a relaxed structure of Sr6Rh2AuBr3.

Output
Size of the total moment   0.00 μB per atom
Formation energy without anion corrections   -11.95 eV per formula unit
Symmetry   No. 12
DFT total energy   -3.753 eV per atom

The structure in extended XYZ format:
```
12
Lattice="-4.840 5.035 -2.825 3.166 -5.125 -4.525 -5.459 -4.952 3.883" Properties=species:S:1:pos:R:3 pbc="T T T"
Br -3.567 -2.521 -1.734
Br -6.254 0.890 -1.163
Br -0.879 -5.931 -2.304
Sr -4.766 -3.920 0.981
Sr -2.995 0.719 -0.695
Sr -0.163 -2.874 -1.296
Sr -2.367 -1.121 -4.448
Sr -6.970 -2.167 -2.171
Sr -4.138 -5.760 -2.772
Rh -2.171 1.647 -3.392
Rh 0.496 -1.737 -3.958
Au 0.000 0.000 0.000
```



2.
The following is a DFT calculation (GGA-PBE) of a relaxed structure of PmHo3ErTh.

Output
Size of the total moment   0.00 μB per atom
ΔE_f   0.20 eV/atom
Symmetry   No. 12
DFT total energy   -4.878 eV per atom

The structure in extended XYZ format:
```
12
Lattice="5.418 0.000 0.000 -2.709 10.602 2.631 0.000 -0.575 6.726" Properties=species:S:1:pos:R:3 pbc="T T T"
Ho 2.709 6.961 3.553
Ho 0.000 9.859 4.345
Ho 2.709 0.168 5.011
Ho 0.000 3.066 5.803
Ho 2.709 5.391 6.908
Ho 0.000 4.636 2.448
Th 2.709 8.797 6.810
Th 0.000 1.229 2.547
Er 0.000 6.679 5.263
Er 2.709 3.348 4.093
Pm 2.709 2.763 0.966
Pm 0.000 7.264 8.391
```



3.
The following is a DFT calculation (GGA-PBE) of a relaxed structure of Ce2HoHfAs4.

Output
Size of the total moment   0.17 μB per atom
ΔE_f   -1.35 eV/atom
Symmetry   No. 10
DFT total energy   -6.972 eV per atom

The structure in extended XYZ format:
```
8
Lattice="4.078 0.000 0.000 0.000 7.067 0.127 0.000 -2.465 6.631" Properties=species:S:1:pos:R:3 pbc="T T T"
As 0.000 4.750 1.663
As 2.039 3.508 5.198
As 0.000 -0.148 5.095
As 2.039 1.093 1.560
Ce 0.000 2.301 3.379
Ce 2.039 -1.233 3.316
Ho 2.039 3.534 0.063
Hf 0.000 0.000 0.000
```



4.
The following is a DFT calculation (GGA-PBE) of a relaxed structure of NbTlTeRuIBr.

Output
Size of the total moment   0.00 μB per atom
Formation energy without anion corrections   -1.48 eV per formula unit
E above lowest polymorph   43 meV per atom
Symmetry   No. 1
DFT total energy   -4.926 eV per atom

The structure in extended XYZ format:
```
6
Lattice="-0.670 2.804 -2.617 2.444 -2.867 -3.645 -9.262 -3.299 -0.431" Properties=species:S:1:pos:R:3 pbc="T T T"
Nb -2.364 -1.390 -5.378
I -7.481 -2.693 -2.026
Te -3.396 -1.953 -2.779
Ru -5.325 -1.054 -1.147
Tl -6.056 -2.428 -5.063
Br 0.047 -0.868 -5.541
```



5.
The following is a DFT calculation (GGA-PBE) of a relaxed structure of FeIrIN2.

Output
Size of the total moment   0.00 μB per atom
Formation energy without anion corrections   6.97 eV per formula unit
E above lowest polymorph   324 meV per atom
Symmetry   No. 123
DFT total energy   -5.712 eV per atom

The structure in extended XYZ format:
```
5
Lattice="3.616 0.000 0.000 0.000 3.616 0.000 0.000 0.000 6.438" Properties=species:S:1:pos:R:3 pbc="T T T"
I 0.000 0.000 3.219
N 0.000 1.808 0.000
N 1.808 0.000 0.000
Fe 0.000 0.000 0.000
Ir 1.808 1.808 3.219
```



6.
The following is a DFT calculation (GGA-PBE) of a relaxed structure of CePaSn2.

Output
Size of the total moment   0.08 μB per atom
E above lowest polymorph   100 meV per atom
ΔE_f   -0.27 eV/atom
Symmetry   No. 166
DFT total energy   -6.134 eV per atom

The structure in extended XYZ format:
```
4
Lattice="-2.309 -2.133 1.088 -0.852 -2.622 -1.862 6.702 -7.523 4.555" Properties=species:S:1:pos:R:3 pbc="T T T"
Ce 1.771 -6.139 1.891
Sn 2.670 -9.219 2.845
Sn 0.871 -3.058 0.936
Pa 0.000 0.000 0.000
```